An optimized crystal structure of HfTi2Be9. Source: the Alexandria database, functional PBE-GGA.

Lattice parameters (Å, degrees): 7.623 7.623 7.623 34.57 34.57 34.57
Sites, in units of the cell vectors:
Hf1 0.000 0.000 0.000
Ti1 0.144 0.144 0.144
Ti2 0.856 0.856 0.856
Be1 0.079 0.583 0.583
Be2 0.334 0.334 0.334
Be3 0.417 0.417 0.921
Be4 0.417 0.921 0.417
Be5 0.500 0.500 0.500
Be6 0.583 0.079 0.583
Be7 0.583 0.583 0.079
Be8 0.666 0.666 0.666
Be9 0.921 0.417 0.417

The value obtained for the density of states at the Fermi level is 3.79 states/eV/cell. The value obtained for the energy relative to the elements is -228 meV/atom.

***

An optimized crystal structure of Hf2TiBe2. Source: the Alexandria database, functional PBE-GGA.

Lattice parameters (Å, degrees): 7.012 7.012 3.263 90.00 90.00 90.00
Sites, in units of the cell vectors:
Hf1 0.181 0.319 0.000
Hf2 0.319 0.819 0.000
Hf3 0.681 0.181 0.000
Hf4 0.819 0.681 0.000
Ti1 0.000 0.000 0.500
Ti2 0.500 0.500 0.500
Be1 0.111 0.611 0.500
Be2 0.389 0.111 0.500
Be3 0.611 0.889 0.500
Be4 0.889 0.389 0.500

The value obtained for the density of states at the Fermi level is 10.67 states/eV/cell. The value obtained for the energy relative to the elements is -21 meV/atom.

***

An optimized crystal structure of HfTi3Be. Source: the Alexandria database, functional PBE-GGA.

Lattice parameters (Å, degrees): 4.804 4.804 4.804 90.00 90.00 90.00
Sites, in units of the cell vectors:
Hf1 0.000 0.000 0.000
Ti1 0.000 0.000 0.500
Ti2 0.000 0.500 0.000
Ti3 0.500 0.000 0.000
Be1 0.500 0.500 0.500

The energy relative to the lowest polymorph listed for this composition comes out at 1132 meV per atom. The value obtained for the density of states at the Fermi level is 7.93 states/eV/cell. The value obtained for the energy relative to the elements is 1535 meV/atom.

***

An optimized crystal structure of Hf2TiBe. Source: the Alexandria database, functional PBE-GGA.

Lattice parameters (Å, degrees): 7.332 7.332 5.469 90.00 90.00 90.00
Sites, in units of the cell vectors:
Hf1 0.214 0.250 0.125
Hf2 0.250 0.714 0.375
Hf3 0.250 0.786 0.875
Hf4 0.286 0.250 0.625
Hf5 0.714 0.750 0.625
Hf6 0.750 0.214 0.875
Hf7 0.750 0.286 0.375
Hf8 0.786 0.750 0.125
Ti1 0.000 0.000 0.500
Ti2 0.000 0.500 0.750
Ti3 0.500 0.000 0.250
Ti4 0.500 0.500 0.000
Be1 0.000 0.000 0.000
Be2 0.000 0.500 0.250
Be3 0.500 0.000 0.750
Be4 0.500 0.500 0.500

The energy relative to the lowest polymorph listed for this composition comes out at 440 meV per atom. The value obtained for the density of states at the Fermi level is 12.98 states/eV/cell. The value obtained for the energy relative to the elements is 448 meV/atom.

***

An optimized crystal structure of HfTi2Be6. Source: the Alexandria database, functional PBE-GGA.

Lattice parameters (Å, degrees): 6.450 6.450 3.010 90.00 90.00 120.00
Sites, in units of the cell vectors:
Hf1 0.000 0.000 0.000
Ti1 0.333 0.667 0.000
Ti2 0.667 0.333 0.000
Be1 0.000 0.338 0.500
Be2 0.000 0.662 0.500
Be3 0.338 0.000 0.500
Be4 0.338 0.338 0.500
Be5 0.662 0.000 0.500
Be6 0.662 0.662 0.500

The value obtained for the density of states at the Fermi level is 7.32 states/eV/cell. The value obtained for the energy relative to the elements is -135 meV/atom.

***

An optimized crystal structure of Hf2Ti2Be. Source: the Alexandria database, functional PBE-GGA.

Lattice parameters (Å, degrees): 6.621 6.621 4.154 90.00 90.00 90.00
Sites, in units of the cell vectors:
Hf1 0.160 0.340 0.000
Hf2 0.340 0.840 0.000
Hf3 0.660 0.160 0.000
Hf4 0.840 0.660 0.000
Ti1 0.142 0.642 0.500
Ti2 0.358 0.142 0.500
Ti3 0.642 0.858 0.500
Ti4 0.858 0.358 0.500
Be1 0.000 0.000 0.500
Be2 0.500 0.500 0.500

The value obtained for the density of states at the Fermi level is 5.82 states/eV/cell. The value obtained for the energy relative to the elements is 188 meV/atom.